No. 1
Material: YTmNi2
Method: DFT, PBE
State: optimized geometry

The structure belongs to space group Amm2 (No. 38); the cell edges are 4.139, 3.750 and 10.178 Å and the angles 90.00°, 90.00° and 90.00°. Symmetry generates all atoms from Y at (0.000, 0.000, 0.000), Tm at (0.500, 0.000, 0.280), Ni at (0.000, 0.000, 0.715) and Ni at (0.500, 0.000, 0.572).

For the distance to the lowest polymorph of the same formula, the calculation gives 0.0 meV per atom. For the total energy, the calculation gives -48.732 eV/cell.


No. 2
Material: YTmNi10
Method: DFT, PBE
State: optimized geometry

The structure belongs to space group Pmmm (No. 47); the cell edges are 3.956, 4.868 and 8.423 Å and the angles 90.00°, 90.00° and 90.00°. Symmetry generates all atoms from Y at (0.000, 0.000, 0.000), Tm at (0.000, 0.500, 0.500), Ni at (0.000, 0.000, 0.336), Ni at (0.000, 0.500, 0.169), Ni at (0.500, 0.000, 0.500), Ni at (0.500, 0.251, 0.252) and Ni at (0.500, 0.500, 0.000).

For the total energy, the calculation gives -72.694 eV/cell.


No. 3
Material: Y3Tm3Ni2
Method: DFT, PBE
State: optimized geometry

The structure belongs to space group Cmcm (No. 63); the cell edges are 3.618, 13.075 and 18.221 Å and the angles 90.00°, 90.00° and 90.00°. Symmetry generates all atoms from Y at (0.000, 0.030, 0.250), Y at (0.000, 0.177, 0.565), Tm at (0.000, 0.250, 0.750), Tm at (0.000, 0.437, 0.584) and Ni at (0.000, 0.192, 0.139).

For the total energy, the calculation gives -182.813 eV/cell.


Number 1: energy of formation from the pure elements -0.47 eV per atom. Number 2: energy of formation from the pure elements -0.33 eV per atom. Number 3: energy of formation from the pure elements -0.17 eV per atom.